Record 1
# BaCa2MnIn

A relaxed structure of BaCa2MnIn (GGA-PBE, Alexandria via LeMat-Bulk).

Geometry as CIF:
```
data_BaCa2MnIn
_space_group_name_H-M_alt 'P 4/m m m'
_space_group_IT_number 123
_space_group_name_Hall '-P 4 2'
_cell_length_a 5.5340
_cell_length_b 5.5340
_cell_length_c 5.6433
_cell_angle_alpha 90.00
_cell_angle_beta 90.00
_cell_angle_gamma 90.00
loop_
_atom_site_label
_atom_site_type_symbol
_atom_site_fract_x
_atom_site_fract_y
_atom_site_fract_z
Ba1 Ba 0.0000 0.0000 0.0000
Ca1 Ca 0.0000 0.5000 0.5000
Mn1 Mn 0.0000 0.0000 0.5000
In1 In 0.5000 0.5000 0.0000
```

Output
- Final energy: -15.22 eV for the cell shown
- ΔH_f (0 K): 0.52 eV per atom

=====

Record 2
# BaCa2InN

A relaxed structure of BaCa2InN (GGA-PBE, Alexandria via LeMat-Bulk).

Geometry as CIF:
```
data_BaCa2InN
_space_group_name_H-M_alt 'P 4/m m m'
_space_group_IT_number 123
_space_group_name_Hall '-P 4 2'
_cell_length_a 4.9598
_cell_length_b 4.9598
_cell_length_c 5.7482
_cell_angle_alpha 90.00
_cell_angle_beta 90.00
_cell_angle_gamma 90.00
loop_
_atom_site_label
_atom_site_type_symbol
_atom_site_fract_x
_atom_site_fract_y
_atom_site_fract_z
Ba1 Ba 0.0000 0.0000 0.0000
Ca1 Ca 0.0000 0.5000 0.5000
In1 In 0.5000 0.5000 0.0000
N1 N 0.0000 0.0000 0.5000
```

Output
- Final energy: -19.37 eV for the cell shown
- Formation energy from raw total energies: -0.48 eV per atom

=====

Record 3
# BaCaInN2

A relaxed structure of BaCaInN2 (GGA-PBE, Alexandria via LeMat-Bulk).

Geometry as CIF:
```
data_BaCaInN2
_space_group_name_H-M_alt 'P 4/m m m'
_space_group_IT_number 123
_space_group_name_Hall '-P 4 2'
_cell_length_a 4.8236
_cell_length_b 4.8236
_cell_length_c 5.4695
_cell_angle_alpha 90.00
_cell_angle_beta 90.00
_cell_angle_gamma 90.00
loop_
_atom_site_label
_atom_site_type_symbol
_atom_site_fract_x
_atom_site_fract_y
_atom_site_fract_z
Ba1 Ba 0.0000 0.0000 0.0000
Ca1 Ca 0.5000 0.5000 0.5000
In1 In 0.5000 0.5000 0.0000
N1 N 0.0000 0.5000 0.5000
```

Output
- Final energy: -19.26 eV for the cell shown
- Formation energy from raw total energies: 0.81 eV per atom

=====

Record 4
# BaCaNbInO6

A relaxed structure of BaCaNbInO6 (GGA-PBE, Alexandria via LeMat-Bulk).

Geometry as CIF:
```
data_BaCaNbInO6
_space_group_name_H-M_alt 'F -4 3 m'
_space_group_IT_number 216
_space_group_name_Hall 'F -4 2 3'
_cell_length_a 8.3158
_cell_length_b 8.3158
_cell_length_c 8.3158
_cell_angle_alpha 90.00
_cell_angle_beta 90.00
_cell_angle_gamma 90.00
loop_
_atom_site_label
_atom_site_type_symbol
_atom_site_fract_x
_atom_site_fract_y
_atom_site_fract_z
Ba1 Ba 0.0000 0.0000 0.0000
Ca1 Ca 0.0000 0.0000 0.5000
Nb1 Nb 0.2500 0.2500 0.7500
In1 In 0.2500 0.2500 0.2500
O1 O 0.0087 0.2500 0.7500
```

Output
- Final energy: -284.45 eV for the cell shown
- Formation energy from raw total energies: -2.46 eV per atom

=====

> Among the records above, which one has the lowest final energy?

BaCaNbInO6